# 1
ScNiSnPt | PBE-GGA | relaxed

a = 4.574 Å, b = 4.574 Å, c = 4.574 Å
α = 60.00°, β = 60.00°, γ = 60.00°
Element x y z (fractional)
Sc1 0.500 0.500 0.500
Ni1 0.250 0.250 0.250
Sn1 0.000 0.000 0.000
Pt1 0.750 0.750 0.750

Output
- Space group: No. 216
- Energy of formation from the pure elements: -0.728 eV/atom

# 2
CaCdIn2 | PBE-GGA | relaxed

a = 4.596 Å, b = 4.596 Å, c = 11.486 Å
α = 78.46°, β = 78.46°, γ = 90.00°
Element x y z (fractional)
Ca1 0.500 0.500 0.000
Ca2 0.250 0.750 0.500
Cd1 0.000 0.000 0.000
Cd2 0.750 0.250 0.500
In1 0.638 0.125 0.250
In2 0.112 0.625 0.250
In3 0.375 0.362 0.750
In4 0.875 0.888 0.750

Output
- Space group: No. 122
- Energy of formation from the pure elements: -0.102 eV/atom

# 3
MgScAu | PBE-GGA | relaxed

a = 3.446 Å, b = 3.446 Å, c = 6.532 Å
α = 90.00°, β = 90.00°, γ = 120.00°
Element x y z (fractional)
Au1 0.000 0.000 0.997
Mg1 0.667 0.333 0.305
Sc1 0.333 0.667 0.698

Output
- Space group: No. 156
- Energy of formation from the pure elements: -0.309 eV/atom

# 4
W4Cl | PBE-GGA | relaxed

a = 4.379 Å, b = 4.379 Å, c = 4.379 Å
α = 90.00°, β = 90.00°, γ = 90.00°
Element x y z (fractional)
W1 0.000 0.000 0.000
W2 0.500 0.000 0.500
W3 0.000 0.500 0.500
W4 0.500 0.500 0.000
Cl1 0.500 0.500 0.500

Output
- Space group: No. 221
- Raw formation energy: 1.619 eV per atom

# 5
Pm3AlGa3 | PBE-GGA | relaxed

a = 4.439 Å, b = 6.027 Å, c = 13.795 Å
α = 84.24°, β = 80.74°, γ = 68.39°
Last column: magnetic moment on the atom in μB.
Element x y z (fractional)
Pm1 0.521 0.336 0.622  0.07
Pm2 0.479 0.664 0.378  0.07
Pm3 0.259 0.258 0.224  0.10
Pm4 0.741 0.742 0.776  0.10
Pm5 0.394 0.288 0.923  0.08
Pm6 0.606 0.712 0.077  0.08
Al1 0.764 0.076 0.395  0.00
Al2 0.236 0.924 0.605  0.00
Ga1 0.866 0.724 0.544  0.00
Ga2 0.134 0.276 0.456  0.00
Ga3 0.108 0.860 0.925  0.00
Ga4 0.892 0.140 0.075  0.00
Ga5 0.968 0.835 0.230  0.01
Ga6 0.032 0.165 0.770  0.01

Output
- Space group: No. 12
- Energy of formation from the pure elements: -0.597 eV/atom
- Energy relative to the lowest polymorph listed for this composition: 0.0000 eV/atom

# 6
LiGeH2O4 | PBE-GGA | relaxed

a = 4.285 Å, b = 4.731 Å, c = 4.731 Å
α = 83.49°, β = 63.07°, γ = 63.07°
Last column: magnetic moment on the atom in μB.
Element x y z (fractional)
Li1 0.000 0.000 0.000  0.00
Ge1 0.500 0.500 0.500  -0.01
H1 0.217 0.283 0.283  0.00
H2 0.783 0.717 0.717  0.00
O1 0.455 0.175 0.389  0.22
O2 0.019 0.825 0.611  0.22
O3 0.981 0.389 0.175  0.22
O4 0.545 0.611 0.825  0.22

Output
- Uncorrected energy: -5.25 eV per atom
- Space group: No. 23

# 7
BeSiRh2 | PBE-GGA | relaxed

a = 2.712 Å, b = 2.712 Å, c = 8.059 Å
α = 90.00°, β = 90.00°, γ = 117.80°
Element x y z (fractional)
Be1 0.500 0.500 0.753
Si1 0.000 0.000 0.507
Rh1 0.000 0.000 0.968
Rh2 0.500 0.500 0.272

Output
- Space group: No. 35
- Raw formation energy: -0.022 eV per atom
- Energy relative to the lowest polymorph listed for this composition: 0.7992 eV/atom

# 8
NiAgPt | PBE-GGA | relaxed

a = 4.115 Å, b = 2.738 Å, c = 16.216 Å
α = 115.00°, β = 139.68°, γ = 89.98°
Last column: magnetic moment on the atom in μB.
Element x y z (fractional)
Ag1 0.516 0.971 0.589  -0.01
Ag2 0.484 0.029 0.411  -0.01
Pt1 0.367 0.016 0.206  0.25
Pt2 0.633 0.984 0.794  0.25
Ni1 0.507 0.793 0.919  0.74
Ni2 0.493 0.207 0.081  0.74

Output
- Space group: No. 2
- Energy of formation from the pure elements: 0.038 eV/atom
- Energy relative to the lowest polymorph listed for this composition: 0.0000 eV/atom

# 9
AgGeAs2 | PBE-GGA | relaxed

a = 3.634 Å, b = 3.634 Å, c = 8.336 Å
α = 77.41°, β = 77.41°, γ = 60.00°
Element x y z (fractional)
As1 0.104 0.104 0.689
As2 0.896 0.896 0.311
Ge1 0.500 0.500 0.500
Ag1 0.000 0.000 0.000

Output
- Space group: No. 166
- Energy of formation from the pure elements: 0.285 eV/atom

# 10
TaIr2W | PBE-GGA | relaxed

a = 2.884 Å, b = 3.814 Å, c = 5.806 Å
α = 90.00°, β = 90.00°, γ = 90.00°
Element x y z (fractional)
Ir1 0.000 0.000 0.981
Ir2 0.500 0.500 0.258
Ta1 0.000 0.000 0.483
W1 0.500 0.500 0.779

Output
- Space group: No. 25
- Energy of formation from the pure elements: -0.255 eV/atom
- Energy relative to the lowest polymorph listed for this composition: 0.2036 eV/atom

# 11
Cs3Cd4In | PBE-GGA | relaxed

a = 7.833 Å, b = 7.833 Å, c = 7.833 Å
α = 117.13°, β = 88.42°, γ = 124.86°
Element x y z (fractional)
Cs1 0.575 0.249 0.824
Cs2 0.927 0.000 0.927
Cs3 0.575 0.751 0.326
Cd1 0.228 0.688 0.916
Cd2 0.228 0.312 0.539
Cd3 0.522 0.211 0.311
Cd4 0.101 0.789 0.311
In1 0.997 0.500 0.497

Output
- Space group: No. 44
- Energy of formation from the pure elements: -0.038 eV/atom
- Energy relative to the lowest polymorph listed for this composition: 0.0087 eV/atom

# 12
CdAs2SeS | PBE-GGA | relaxed

a = 4.870 Å, b = 4.870 Å, c = 4.895 Å
α = 90.00°, β = 90.00°, γ = 90.00°
Last column: magnetic moment on the atom in μB.
Element x y z (fractional)
As1 0.000 0.500 0.000  0.07
As2 0.500 0.000 0.000  0.07
S1 0.000 0.000 0.000  0.00
Se1 0.000 0.000 0.500  0.03
Cd1 0.500 0.500 0.500  0.00

Output
- Space group: No. 123
- Raw formation energy: 0.590 eV per atom
- Energy relative to the lowest polymorph listed for this composition: 0.0000 eV/atom

# 13
K3La2PaS6 | PBE-GGA | relaxed

a = 7.287 Å, b = 7.287 Å, c = 7.786 Å
α = 99.00°, β = 99.00°, γ = 119.98°
Last column: magnetic moment on the atom in μB.
Element x y z (fractional)
K1 0.169 0.831 0.500  0.00
K2 0.831 0.169 0.500  0.00
K3 0.500 0.500 0.500  0.00
La1 0.333 0.667 0.000  0.11
La2 0.667 0.333 0.000  0.11
Pa1 0.000 0.000 0.000  1.16
S1 0.930 0.612 0.792  -0.02
S2 0.752 0.752 0.208  -0.02
S3 0.070 0.388 0.208  -0.02
S4 0.612 0.930 0.792  -0.02
S5 0.248 0.248 0.792  -0.02
S6 0.388 0.070 0.208  -0.02

Output
- Space group: No. 12
- Raw formation energy: -1.751 eV per atom

# 14
Ho2Pd3Au3 | PBE-GGA | relaxed

a = 4.916 Å, b = 5.298 Å, c = 13.828 Å
α = 90.00°, β = 90.00°, γ = 117.64°
Element x y z (fractional)
Ho1 0.759 0.517 0.890
Ho2 0.241 0.483 0.390
Ho3 0.759 0.517 0.610
Ho4 0.241 0.483 0.110
Pd1 0.596 0.193 0.428
Pd2 0.404 0.807 0.928
Pd3 0.596 0.193 0.072
Pd4 0.404 0.807 0.572
Pd5 0.455 0.909 0.250
Pd6 0.545 0.091 0.750
Au1 0.916 0.833 0.418
Au2 0.084 0.167 0.918
Au3 0.916 0.833 0.082
Au4 0.084 0.167 0.582
Au5 0.758 0.516 0.250
Au6 0.242 0.484 0.750

Output
- Space group: No. 63
- Energy of formation from the pure elements: -0.655 eV/atom
- Energy relative to the lowest polymorph listed for this composition: 0.0859 eV/atom

# 15
SmDyPu2Se5 | PBE-GGA | relaxed

a = 5.141 Å, b = 5.141 Å, c = 10.905 Å
α = 90.00°, β = 90.00°, γ = 90.00°
Last column: magnetic moment on the atom in μB.
Element x y z (fractional)
Sm1 0.000 0.000 0.000  0.05
Dy1 0.000 0.000 0.500  0.06
Pu1 0.500 0.500 0.312  5.71
Pu2 0.500 0.500 0.688  5.71
Se1 0.000 0.500 0.500  -0.04
Se2 0.500 0.000 0.500  -0.04
Se3 0.000 0.000 0.753  -0.03
Se4 0.000 0.000 0.247  -0.03
Se5 0.500 0.500 0.000  -0.03

Output
- Space group: No. 123
- Raw formation energy: -1.156 eV per atom

# 16
CeInGaSn | PBE-GGA | relaxed

a = 4.717 Å, b = 4.475 Å, c = 4.600 Å
α = 90.00°, β = 90.00°, γ = 90.00°
Last column: magnetic moment on the atom in μB.
Element x y z (fractional)
Ce1 0.500 0.500 0.000  0.59
In1 0.000 0.500 0.500  0.01
Ga1 0.500 0.000 0.500  0.01
Sn1 0.000 0.000 0.000  0.01

Output
- Space group: No. 47
- Energy of formation from the pure elements: -0.486 eV/atom

# 17
LiHoGePb | PBE-GGA | relaxed

a = 5.092 Å, b = 5.092 Å, c = 5.092 Å
α = 60.00°, β = 60.00°, γ = 60.00°
Element x y z (fractional)
Pb1 0.250 0.250 0.250
Ge1 0.750 0.750 0.750
Ho1 0.000 0.000 0.000
Li1 0.500 0.500 0.500

Output
- Space group: No. 216
- Energy of formation from the pure elements: -0.302 eV/atom

# 18
CsCuHgTe | PBE-GGA | relaxed

a = 4.571 Å, b = 4.571 Å, c = 13.391 Å
α = 90.00°, β = 90.00°, γ = 90.00°
Element x y z (fractional)
Cs1 0.750 0.750 0.246
Cs2 0.250 0.250 0.754
Cu1 0.750 0.250 0.000
Cu2 0.250 0.750 0.000
Hg1 0.250 0.750 0.500
Hg2 0.750 0.250 0.500
Te1 0.750 0.750 0.893
Te2 0.250 0.250 0.107

Output
- Space group: No. 129
- Raw formation energy: -0.384 eV per atom

# 19
BeP2Os | PBE-GGA | relaxed

a = 4.095 Å, b = 4.095 Å, c = 4.343 Å
α = 86.11°, β = 86.11°, γ = 42.79°
Element x y z (fractional)
P1 0.978 0.978 0.986
P2 0.522 0.522 0.514
Os1 0.250 0.250 0.250
Be1 0.750 0.750 0.750

Output
- Space group: No. 12
- Energy of formation from the pure elements: 0.030 eV/atom

# 20
ScZn3Re | PBE-GGA | relaxed

a = 4.749 Å, b = 4.749 Å, c = 4.749 Å
α = 90.00°, β = 90.00°, γ = 90.00°
Element x y z (fractional)
Sc1 0.500 0.500 0.500
Re1 0.000 0.000 0.000
Zn1 0.000 0.500 0.000
Zn2 0.000 0.000 0.500
Zn3 0.500 0.000 0.000

Output
- Space group: No. 221
- Energy of formation from the pure elements: 0.588 eV/atom
- Energy relative to the lowest polymorph listed for this composition: 0.0000 eV/atom

In the order shown, the computed total magnetization values come out to 0.00; 0.00; 0.00; 0.00; 0.61; 1.02; 0.00; 0.95; 0.00; 0.00; 0.00; 0.34; 1.83; 0.00; 11.86; 0.73; 0.00; 0.00; 0.00; 0.00 μB/f.u..